(1)
Computed, not measured: a geometry-optimized PuTlPb structure at the PBE-GGA level of DFT.

Cell lengths 7.3631, 7.3631, 7.3631 Å; angles 90.00, 90.00, 90.00 degrees
Closest atoms and distances in Å follow each position.
Space group F-43m (No. 216)
Unique sites:
Pu  0.0000  0.0000  0.0000 [4 per cell]  4 Tl 3.19
Tl  0.2500  0.2500  0.7500 [4 per cell]  4 Pb 3.19, 4 Pu 3.19
Pb  0.0000  0.0000  0.5000 [4 per cell]  4 Tl 3.19

V in Å³/cell: 399.2
DFT total energy in eV/atom: -6.598
Energy above the lowest structure with this stoichiometry in eV/atom: 0.0000
Total moment in μB/f.u.: 6.0

=====

(2)
Computed, not measured: a geometry-optimized Zr6Al16Pt7 structure at the PBE-GGA level of DFT.

Cell lengths 12.4173, 12.4173, 12.4173 Å; angles 90.00, 90.00, 90.00 degrees
Closest atoms and distances in Å follow each position.
Space group Fm-3m (No. 225)
Unique sites:
Zr  0.0000  0.0000  0.1858 [24 per cell]  8 Al 2.91-3.20, 4 Pt 3.20
Al  0.1202  0.1202  0.3798 [32 per cell]  4 Pt 2.59-2.72, 3 Al 2.78
Al  0.1651  0.1651  0.1651 [32 per cell]  3 Pt 2.53, 3 Al 2.78
Pt  0.0000  0.0000  0.5000 [4 per cell]  8 Al 2.59
Pt  0.0000  0.2500  0.2500 [24 per cell]  8 Al 2.53-2.72

V in Å³/cell: 1914.6
DFT total energy in eV/atom: -6.216
Total moment in μB/f.u.: 0.0

=====

(3)
Computed, not measured: a geometry-optimized NdPdPbSe3 structure at the PBE-GGA level of DFT.

Cell lengths 3.9877, 14.3161, 10.7854 Å; angles 90.00, 90.00, 90.00 degrees
Closest atoms and distances in Å follow each position.
Space group Cmcm (No. 63)
Unique sites:
Nd  0.0000  0.0000  0.0000 [4 per cell]  6 Se 2.95-2.98
Pd  0.0000  0.4719  0.2500 [4 per cell]  4 Se 2.56-2.64
Pb  0.0000  0.2266  0.7500 [4 per cell]  6 Se 3.06-3.36
Se  0.0000  0.0841  0.2500 [4 per cell]  2 Pd 2.56
Se  0.0000  0.3529  0.0631 [8 per cell]  1 Pd 2.64

V in Å³/cell: 615.7
DFT total energy in eV/atom: -4.981
Total moment in μB/f.u.: 0.0

=====

(4)
Computed, not measured: a geometry-optimized TeAu124 structure at the PBE-GGA level of DFT.

Cell lengths 20.6412, 20.6412, 20.6412 Å; angles 90.00, 90.00, 90.00 degrees
Closest atoms and distances in Å follow each position.
Space group Fm-3m (No. 225)
Unique sites:
Te  0.0000  0.0000  0.0000 [4 per cell]  12 Au 2.98
Au  0.0000  0.0000  0.2005 [24 per cell]  12 Au 2.92-2.93
Au  0.0000  0.0000  0.4001 [24 per cell]  12 Au 2.92
Au  0.0000  0.1000  0.3002 [96 per cell]  12 Au 2.91-2.92
Au  0.0000  0.1020  0.1020 [48 per cell]  11 Au 2.88-2.98, 1 Te 2.98
Au  0.0000  0.2006  0.2006 [48 per cell]  12 Au 2.88-2.93
Au  0.1003  0.1003  0.2006 [96 per cell]  12 Au 2.90-2.93
Au  0.1000  0.1000  0.4000 [32 per cell]  12 Au 2.92
Au  0.1001  0.1999  0.3001 [96 per cell]  12 Au 2.91-2.92
Au  0.2001  0.2001  0.2001 [32 per cell]  12 Au 2.91-2.92

V in Å³/cell: 8794.3
DFT total energy in eV/atom: -3.255